Entry 1:
Compound: CaTmSc2
Source: Alexandria
Functional: PBE-GGA
Structure: relaxed

a = 3.4595 Å, b = 3.4595 Å, c = 9.8509 Å
α = 90.00°, β = 90.00°, γ = 90.00°
Last column: nearest neighbours and their distance in Å.
Fractional coordinates of all 4 atoms:
Ca 0.0000 0.0000 0.0000  4 Ca 3.46, 8 Sc 3.64
Tm 0.0000 0.0000 0.5000  8 Sc 3.31, 4 Tm 3.46
Sc 0.5000 0.5000 0.2733  4 Tm 3.31, 4 Sc 3.46, 4 Ca 3.64
Sc 0.5000 0.5000 0.7267  4 Tm 3.31, 4 Sc 3.46, 4 Ca 3.64


Entry 2:
Compound: Sc6Ga16Rh7
Source: Alexandria
Functional: PBE-GGA
Structure: relaxed

a = 8.7888 Å, b = 8.7888 Å, c = 8.7888 Å
α = 60.00°, β = 60.00°, γ = 60.00°
Last column: nearest neighbours and their distance in Å.
Fractional coordinates of all 29 atoms:
Sc 0.2148 0.2148 0.7852  8 Ga 2.84-2.96, 4 Rh 3.14
Sc 0.2148 0.7852 0.2148  8 Ga 2.84-2.96, 4 Rh 3.14
Sc 0.2148 0.7852 0.7852  8 Ga 2.84-2.96, 4 Rh 3.14
Sc 0.7852 0.2148 0.2148  8 Ga 2.84-2.96, 4 Rh 3.14
Sc 0.7852 0.2148 0.7852  8 Ga 2.84-2.96, 4 Rh 3.14
Sc 0.7852 0.7852 0.2148  8 Ga 2.84-2.96, 4 Rh 3.14
Ga 0.1299 0.6234 0.6234  4 Rh 2.66-2.70, 3 Ga 2.80, 3 Sc 2.96
Ga 0.1560 0.1560 0.1560  3 Rh 2.55, 3 Ga 2.80, 3 Sc 2.84
Ga 0.1560 0.1560 0.5319  3 Rh 2.55, 3 Ga 2.80, 3 Sc 2.84
Ga 0.1560 0.5319 0.1560  3 Rh 2.55, 3 Ga 2.80, 3 Sc 2.84
Ga 0.3766 0.3766 0.3766  4 Rh 2.66-2.70, 3 Ga 2.80, 3 Sc 2.96
Ga 0.3766 0.3766 0.8701  4 Rh 2.66-2.70, 3 Ga 2.80, 3 Sc 2.96
Ga 0.3766 0.8701 0.3766  4 Rh 2.66-2.70, 3 Ga 2.80, 3 Sc 2.96
Ga 0.4681 0.8440 0.8440  3 Rh 2.55, 3 Ga 2.80, 3 Sc 2.84
Ga 0.5319 0.1560 0.1560  3 Rh 2.55, 3 Ga 2.80, 3 Sc 2.84
Ga 0.6234 0.1299 0.6234  4 Rh 2.66-2.70, 3 Ga 2.80, 3 Sc 2.96
Ga 0.6234 0.6234 0.1299  4 Rh 2.66-2.70, 3 Ga 2.80, 3 Sc 2.96
Ga 0.6234 0.6234 0.6234  4 Rh 2.66-2.70, 3 Ga 2.80, 3 Sc 2.96
Ga 0.8440 0.4681 0.8440  3 Rh 2.55, 3 Ga 2.80, 3 Sc 2.84
Ga 0.8440 0.8440 0.4681  3 Rh 2.55, 3 Ga 2.80, 3 Sc 2.84
Ga 0.8440 0.8440 0.8440  3 Rh 2.55, 3 Ga 2.80, 3 Sc 2.84
Ga 0.8701 0.3766 0.3766  4 Rh 2.66-2.70, 3 Ga 2.80, 3 Sc 2.96
Rh 0.0000 0.0000 0.5000  8 Ga 2.55-2.70
Rh 0.0000 0.5000 0.0000  8 Ga 2.55-2.70
Rh 0.0000 0.5000 0.5000  8 Ga 2.55-2.70
Rh 0.5000 0.0000 0.0000  8 Ga 2.55-2.70
Rh 0.5000 0.0000 0.5000  8 Ga 2.55-2.70
Rh 0.5000 0.5000 0.0000  8 Ga 2.55-2.70
Rh 0.5000 0.5000 0.5000  8 Ga 2.66


Entry 3:
Compound: BaAc4Pb15
Source: Alexandria
Functional: PBE-GGA
Structure: relaxed

a = 5.0602 Å, b = 5.0602 Å, c = 25.5752 Å
α = 90.00°, β = 90.00°, γ = 90.00°
Last column: nearest neighbours and their distance in Å.
Fractional coordinates of all 20 atoms:
Ba 0.0000 0.0000 0.0000  12 Pb 3.58-3.63
Ac 0.0000 0.0000 0.2024  12 Pb 3.57-3.61
Ac 0.0000 0.0000 0.4006  12 Pb 3.58-3.59
Ac 0.0000 0.0000 0.5994  12 Pb 3.58-3.59
Ac 0.0000 0.0000 0.7976  12 Pb 3.57-3.61
Pb 0.0000 0.5000 0.1016  8 Pb 3.58-3.63, 2 Ac 3.61, 2 Ba 3.63
Pb 0.0000 0.5000 0.3011  4 Ac 3.57-3.59, 8 Pb 3.58-3.61
Pb 0.0000 0.5000 0.5000  8 Pb 3.58-3.59, 4 Ac 3.59
Pb 0.0000 0.5000 0.6989  4 Ac 3.57-3.59, 8 Pb 3.58-3.61
Pb 0.0000 0.5000 0.8984  8 Pb 3.58-3.63, 2 Ac 3.61, 2 Ba 3.63
Pb 0.5000 0.0000 0.1016  8 Pb 3.58-3.63, 2 Ac 3.61, 2 Ba 3.63
Pb 0.5000 0.0000 0.3011  4 Ac 3.57-3.59, 8 Pb 3.58-3.61
Pb 0.5000 0.0000 0.5000  8 Pb 3.58-3.59, 4 Ac 3.59
Pb 0.5000 0.0000 0.6989  4 Ac 3.57-3.59, 8 Pb 3.58-3.61
Pb 0.5000 0.0000 0.8984  8 Pb 3.58-3.63, 2 Ac 3.61, 2 Ba 3.63
Pb 0.5000 0.5000 0.0000  4 Ba 3.58, 8 Pb 3.63
Pb 0.5000 0.5000 0.2007  4 Ac 3.58, 8 Pb 3.58-3.61
Pb 0.5000 0.5000 0.4006  4 Ac 3.58, 8 Pb 3.59
Pb 0.5000 0.5000 0.5994  4 Ac 3.58, 8 Pb 3.59
Pb 0.5000 0.5000 0.7993  4 Ac 3.58, 8 Pb 3.58-3.61


| no. | raw total energy (eV for the cell shown) | energy of formation from the pure elements (eV/atom) |
| --- | --- | --- |
| 1 | -18.6 | 0.140 |
| 2 | -157.8 | -0.686 |
| 3 | -81.9 | -0.395 |